# 1
LaBeH2 PBE optimized geometry; E above lowest polymorph = 0 meV per atom; magnetization = 0.00 μB per formula unit; crystal system = cubic; final energy = -15.5 eV for the cell shown
1.0
0.000 2.919 2.919
2.919 0.000 2.919
2.919 2.919 0.000
La Be H
1 1 2
Direct
0.000 0.000 0.000
0.500 0.500 0.500
0.250 0.250 0.250
0.750 0.750 0.750


# 2
LaBeH PBE optimized geometry; E above lowest polymorph = 70 meV per atom; magnetization = 0.01 μB per formula unit; crystal system = monoclinic; final energy = -24.8 eV for the cell shown
1.0
3.987 0.000 0.000
0.000 4.098 0.000
-1.937 0.000 6.210
La Be H
2 2 2
Direct
0.000 0.000 0.000
0.293 0.500 0.572
0.644 0.500 0.217
0.693 0.000 0.377
0.005 0.500 0.189
0.393 0.000 0.782